Here is a relaxed structure of ZrCrBi3 from the Alexandria database. Energies are from GGA-PBE.

Computed properties:
energy above the most stable polymorph in this dataset = 0.000 eV/atom
space group = Pm-3m (221)
formation energy from the elements = 695 meV per atom

Lattice parameters (Å, degrees): 5.252 5.252 5.252 90.00 90.00 90.00
Last column: magnetic moment on the atom in μB.
Fractional coordinates of all 5 atoms:
1 Cr 0.000 0.000 0.000  2.59
2 Bi 0.000 0.500 0.000  -0.06
3 Bi 0.000 0.000 0.500  -0.06
4 Bi 0.500 0.000 0.000  -0.18
5 Zr 0.500 0.500 0.500  0.92